1.
First-principles (PBE) data for a relaxed GeI4 crystal, as listed in Alexandria.

The structure in CIF format:
```
data_GeI4
_symmetry_space_group_name_H-M 'P 1'
_symmetry_Int_Tables_number 1
_cell_length_a 12.9232
_cell_length_b 12.9232
_cell_length_c 12.9232
_cell_angle_alpha 90.00
_cell_angle_beta 90.00
_cell_angle_gamma 90.00
loop_
_symmetry_equiv_pos_as_xyz
'x,y,z'
loop_
_atom_site_label
_atom_site_type_symbol
_atom_site_fract_x
_atom_site_fract_y
_atom_site_fract_z
Ge1 Ge 0.1351 0.1351 0.1351
Ge2 Ge 0.1351 0.3649 0.6351
Ge3 Ge 0.3649 0.6351 0.1351
Ge4 Ge 0.3649 0.8649 0.6351
Ge5 Ge 0.6351 0.1351 0.3649
Ge6 Ge 0.6351 0.3649 0.8649
Ge7 Ge 0.8649 0.6351 0.3649
Ge8 Ge 0.8649 0.8649 0.8649
I1 I 0.0065 0.2480 0.0370
I2 I 0.0065 0.2520 0.5370
I3 I 0.0370 0.0065 0.2480
I4 I 0.0370 0.4935 0.7480
I5 I 0.2480 0.0370 0.0065
I6 I 0.2483 0.2483 0.2483
I7 I 0.2483 0.2517 0.7483
I8 I 0.2480 0.4630 0.5065
I9 I 0.2520 0.5370 0.0065
I10 I 0.2517 0.7483 0.2483
I11 I 0.2517 0.7517 0.7483
I12 I 0.2520 0.9630 0.5065
I13 I 0.4630 0.5065 0.2480
I14 I 0.4630 0.9935 0.7480
I15 I 0.4935 0.7480 0.0370
I16 I 0.4935 0.7520 0.5370
I17 I 0.5065 0.2480 0.4630
I18 I 0.5065 0.2520 0.9630
I19 I 0.5370 0.0065 0.2520
I20 I 0.5370 0.4935 0.7520
I21 I 0.7480 0.0370 0.4935
I22 I 0.7483 0.2483 0.2517
I23 I 0.7483 0.2517 0.7517
I24 I 0.7480 0.4630 0.9935
I25 I 0.7520 0.5370 0.4935
I26 I 0.7517 0.7483 0.2517
I27 I 0.7517 0.7517 0.7517
I28 I 0.7520 0.9630 0.9935
I29 I 0.9630 0.5065 0.2520
I30 I 0.9630 0.9935 0.7520
I31 I 0.9935 0.7480 0.4630
I32 I 0.9935 0.7520 0.9630
```

Summary:
- total energy (Ry per atom) = -0.1783
- formation energy without anion corrections (eV per atom) = -0.26
- space group = Pa-3
- Fermi-level density of states (states/eV/f.u.) = 0.000

2.
First-principles (PBE) data for a relaxed GeI4 crystal, as listed in Alexandria.

The structure in CIF format:
```
data_GeI4
_symmetry_space_group_name_H-M 'P 1'
_symmetry_Int_Tables_number 1
_cell_length_a 7.0507
_cell_length_b 7.0507
_cell_length_c 11.1530
_cell_angle_alpha 90.00
_cell_angle_beta 90.00
_cell_angle_gamma 90.00
loop_
_symmetry_equiv_pos_as_xyz
'x,y,z'
loop_
_atom_site_label
_atom_site_type_symbol
_atom_site_fract_x
_atom_site_fract_y
_atom_site_fract_z
Ge1 Ge 0.0000 0.0000 0.0000
Ge2 Ge 0.5000 0.5000 0.5000
I1 I 0.2074 0.2074 0.1328
I2 I 0.2074 0.7926 0.8672
I3 I 0.2926 0.2926 0.6328
I4 I 0.2926 0.7074 0.3672
I5 I 0.7074 0.2926 0.3672
I6 I 0.7074 0.7074 0.6328
I7 I 0.7926 0.2074 0.8672
I8 I 0.7926 0.7926 0.1328
```

Summary:
- total energy (Ry per atom) = -0.1784
- formation energy without anion corrections (eV per atom) = -0.26
- space group = I-42m
- Fermi-level density of states (states/eV/f.u.) = 0.000

3.
First-principles (PBE) data for a relaxed GeI crystal, as listed in Alexandria.

The structure in CIF format:
```
data_GeI
_symmetry_space_group_name_H-M 'P 1'
_symmetry_Int_Tables_number 1
_cell_length_a 8.8444
_cell_length_b 8.5012
_cell_length_c 7.6893
_cell_angle_alpha 90.00
_cell_angle_beta 90.00
_cell_angle_gamma 90.00
loop_
_symmetry_equiv_pos_as_xyz
'x,y,z'
loop_
_atom_site_label
_atom_site_type_symbol
_atom_site_fract_x
_atom_site_fract_y
_atom_site_fract_z
Ge1 Ge 0.0154 0.2500 0.0022
Ge2 Ge 0.1096 0.7500 0.6868
Ge3 Ge 0.3904 0.2500 0.1868
Ge4 Ge 0.4846 0.7500 0.5022
Ge5 Ge 0.5154 0.2500 0.4978
Ge6 Ge 0.6096 0.7500 0.8132
Ge7 Ge 0.8904 0.2500 0.3132
Ge8 Ge 0.9846 0.7500 0.9978
I1 I 0.1464 0.0081 0.2345
I2 I 0.1464 0.4919 0.2345
I3 I 0.3536 0.5081 0.7345
I4 I 0.3536 0.9919 0.7345
I5 I 0.6464 0.0081 0.2655
I6 I 0.6464 0.4919 0.2655
I7 I 0.8536 0.5081 0.7655
I8 I 0.8536 0.9919 0.7655
```

Summary:
- total energy (Ry per atom) = -0.2219
- formation energy without anion corrections (eV per atom) = 0.06
- ΔE to the lowest computed polymorph (kJ per mole of atoms) = 19.7
- space group = Pnma

4.
First-principles (PBE) data for a relaxed GeI3 crystal, as listed in Alexandria.

The structure in CIF format:
```
data_GeI3
_symmetry_space_group_name_H-M 'P 1'
_symmetry_Int_Tables_number 1
_cell_length_a 8.0142
_cell_length_b 8.0142
_cell_length_c 8.0142
_cell_angle_alpha 90.00
_cell_angle_beta 90.00
_cell_angle_gamma 90.00
loop_
_symmetry_equiv_pos_as_xyz
'x,y,z'
loop_
_atom_site_label
_atom_site_type_symbol
_atom_site_fract_x
_atom_site_fract_y
_atom_site_fract_z
Ge1 Ge 0.0000 0.0000 0.0000
Ge2 Ge 0.0000 0.5000 0.5000
Ge3 Ge 0.5000 0.0000 0.5000
Ge4 Ge 0.5000 0.5000 0.0000
I1 I 0.0000 0.0000 0.5000
I2 I 0.0000 0.5000 0.0000
I3 I 0.2500 0.2500 0.2500
I4 I 0.2500 0.2500 0.7500
I5 I 0.2500 0.7500 0.2500
I6 I 0.2500 0.7500 0.7500
I7 I 0.5000 0.0000 0.0000
I8 I 0.5000 0.5000 0.5000
I9 I 0.7500 0.2500 0.2500
I10 I 0.7500 0.2500 0.7500
I11 I 0.7500 0.7500 0.2500
I12 I 0.7500 0.7500 0.7500
```

Summary:
- total energy (Ry per atom) = -0.1423
- formation energy without anion corrections (eV per atom) = 0.38
- space group = Fm-3m
- Fermi-level density of states (states/eV/f.u.) = 12.153